Here is an optimized crystal structure of LiIn6Ag from Alexandria via LeMat-Bulk. Energies are from GGA-PBE.

## Properties
D(E_F) ... 0.280 states/eV per atom
Theoretical density ... 6.6 g/cm3
Space-group type ... C2/m (12)
ΔE_f ... -18 meV per atom
Total DFT energy (no corrections) ... -21.34 eV per formula unit

Geometry as extended XYZ:
```
8
Lattice="-2.2142 0.0012 4.4836 0.6725 -6.1463 0.3527 6.5677 3.8711 0.4444" Properties=species:S:1:pos:R:3 pbc="T T T"
In 2.7012 -4.3287 1.3497
In -0.9426 -1.5119 2.3307
In 2.6655 -1.0611 4.1103
Ag 0.3363 -3.0731 0.1763
In 2.3605 -1.2129 1.1704
In -0.5991 -4.6332 2.5057
In 2.3248 2.0547 3.9310
Li 0.0000 0.0000 0.0000
```

---

Here is an optimized crystal structure of Li3In2Ag2 from Alexandria via LeMat-Bulk. Energies are from GGA-PBE.

## Properties
D(E_F) ... 0.308 states/eV per atom
Theoretical density ... 6.0 g/cm3
Space-group type ... C2/m (12)
ΔE_f ... -268 meV per atom
Total DFT energy (no corrections) ... -18.79 eV per formula unit

Geometry as extended XYZ:
```
7
Lattice="4.7353 0.0000 0.0000 -2.3677 4.0367 -0.2357 0.0000 -2.4777 6.8729" Properties=species:S:1:pos:R:3 pbc="T T T"
Ag 2.3677 0.1785 5.7027
Li 2.3677 0.0000 0.0000
Li 0.0000 1.4696 3.6940
Ag 0.0000 1.3805 0.9345
In 0.0000 -1.1928 4.9319
Li 2.3677 0.0894 2.9432
In 2.3677 2.7517 1.7052
```

---

Here is an optimized crystal structure of LiIn8Ag2 from Alexandria via LeMat-Bulk. Energies are from GGA-PBE.

## Properties
D(E_F) ... 0.334 states/eV per atom
Theoretical density ... 6.8 g/cm3
Space-group type ... C2/m (12)
ΔE_f ... 4 meV per atom
Total DFT energy (no corrections) ... -29.48 eV per formula unit

Geometry as extended XYZ:
```
11
Lattice="-4.3666 2.2392 -0.7127 -4.2195 -6.2670 -1.6273 -3.4242 -2.0962 6.6037" Properties=species:S:1:pos:R:3 pbc="T T T"
In -3.0520 0.0439 0.2727
In -8.9583 -6.1679 3.9910
In -6.9614 -2.3623 -0.4735
In -4.5343 -2.4118 1.6602
Li 0.0000 0.0000 0.0000
In -5.4065 -5.6372 1.0358
In -6.6038 -0.4868 3.2279
In -5.0489 -3.7617 4.7371
Ag -6.1724 -6.2347 3.7557
Ag -5.8379 0.1107 0.5080
In -7.4760 -3.7122 2.6034
```

---

Here is an optimized crystal structure of LiInAg14 from Alexandria via LeMat-Bulk. Energies are from GGA-PBE.

## Properties
D(E_F) ... 0.270 states/eV per atom
Theoretical density ... 9.4 g/cm3
Space-group type ... Amm2 (38)
ΔE_f ... -28 meV per atom
Total DFT energy (no corrections) ... -45.02 eV per formula unit

Geometry as extended XYZ:
```
16
Lattice="5.8669 -0.3326 0.0000 -2.6054 5.2671 0.0000 0.0000 0.0000 9.5673" Properties=species:S:1:pos:R:3 pbc="T T T"
Ag 0.5651 3.1716 7.1866
Ag 3.5128 3.0189 2.3925
Ag 4.8130 0.3640 7.1721
Ag -0.9392 2.3995 4.7836
Ag 0.6858 4.8582 4.7836
Ag 0.5651 3.1716 2.3806
Ag 3.3840 1.3085 0.0000
Ag 1.8609 0.5196 2.3925
Li -2.2364 5.0233 4.7836
Ag -0.8503 4.1072 0.0000
In 1.9999 2.2233 4.7836
Ag 4.8130 0.3640 2.3952
Ag 2.0870 3.9367 0.0000
Ag 0.4577 1.4716 0.0000
Ag 1.8609 0.5196 7.1748
Ag 3.5128 3.0189 7.1748
```

---

Here is an optimized crystal structure of Li5InAg3 from Alexandria via LeMat-Bulk. Energies are from GGA-PBE.

## Properties
D(E_F) ... 0.333 states/eV per atom
Theoretical density ... 4.5 g/cm3
Space-group type ... C2/m (12)
ΔE_f ... -26 meV per atom
Total DFT energy (no corrections) ... -21.09 eV per formula unit

Geometry as extended XYZ:
```
18
Lattice="8.0604 1.9851 -0.4809 4.1158 7.2091 -0.4809 3.0857 2.3300 6.8171" Properties=species:S:1:pos:R:3 pbc="T T T"
Ag 7.0481 5.3219 1.7820
Li 10.0182 5.6977 1.5665
Ag 1.5428 1.1650 3.4086
Li 4.9689 3.7520 2.0008
Li 5.2437 5.8264 4.2889
Li 1.9992 1.5096 0.0542
Li 10.2930 7.7721 3.8546
Ag 8.2138 6.2022 4.0734
Li 5.4459 5.4476 -0.4809
Ag 8.1539 6.1569 -0.6276
Ag 0.0000 0.0000 0.0000
Li 8.2226 8.0757 1.5665
Li 6.7303 3.7466 -0.4809
Li 13.2627 10.0145 5.8011
In 3.7594 2.8387 4.2562
In 11.5024 8.6854 1.5992
Li 7.0393 3.4484 4.2889
Ag 7.1080 5.3672 6.4830
```

---

Here is an optimized crystal structure of LiIn5Ag4 from Alexandria via LeMat-Bulk. Energies are from GGA-PBE.

## Properties
D(E_F) ... 0.318 states/eV per atom
Theoretical density ... 7.6 g/cm3
ΔE to the lowest computed polymorph ... 0.00 eV/f.u.
Space-group type ... C2/m (12)
ΔE_f ... -72 meV per atom
Total DFT energy (no corrections) ... -27.74 eV per formula unit

Geometry as extended XYZ:
```
10
Lattice="4.3674 0.0000 -1.2010 -0.1892 6.9444 -0.6882 -0.3301 0.6790 7.3412" Properties=species:S:1:pos:R:3 pbc="T T T"
In 3.3959 0.6042 3.8079
Li 2.1837 0.0000 -0.6005
In 0.4521 7.0192 1.6441
Ag 3.8568 6.0314 5.4841
Ag -0.0088 1.5921 -0.0321
Ag 1.1290 5.6980 4.1056
In 2.0891 3.4722 -0.9446
Ag 2.7191 1.9254 1.3464
In 3.3222 3.7320 3.5397
In 0.5258 3.8915 1.9123
```